{
  "formula": "Ca8SiAg2",
  "functional": "GGA-PBE",
  "state": "relaxed",
  "crystal_system": "monoclinic",
  "n_ef_per_ev_atom": 0.7981,
  "e_form_raw_mev_per_atom": -171,
  "lattice_angstrom": [[6.4385, -0.0613, -1.1649], [-2.2569, 7.2099, -3.2044], [-0.2658, -0.3104, 8.1962]],
  "species": ["Ca", "Ca", "Ca", "Ca", "Ca", "Ca", "Ca", "Ca", "Si", "Ag", "Ag"],
  "fractional_positions": [[0.5772, 0.3416, 0.0904], [0.5772, 0.0904, 0.3416], [0.1736, 0.3504, 0.3504], [0.9713, 0.1889, 0.7913], [0.9713, 0.7913, 0.1889], [0.8016, 0.6561, 0.6561], [0.3517, 0.9169, 0.6565], [0.3517, 0.6565, 0.9169], [0.1887, 0.9981, 0.9981], [0.5177, 0.7105, 0.3332], [0.5177, 0.3332, 0.7105]]
}

{
  "formula": "CaSi2Ag",
  "functional": "GGA-PBE",
  "state": "relaxed",
  "crystal_system": "trigonal",
  "n_ef_per_ev_atom": 0.4455,
  "e_form_raw_mev_per_atom": -86,
  "lattice_angstrom": [[-5.4353, 0.8701, -1.6741], [-3.0172, -0.7210, -4.8456], [-4.3984, -3.2966, -1.6997]],
  "species": ["Ag", "Ca", "Si", "Si"],
  "fractional_positions": [[0.2500, 0.2500, 0.2500], [0.7500, 0.7500, 0.7500], [0.9638, 0.9638, 0.9638], [0.5362, 0.5362, 0.5362]]
}